No. 1
# Tb4PmY

A relaxed Tb4PmY crystal (GGA-PBE, Alexandria).

Calculated values
V in Å³ per atom: 33.202
Uncorrected energy in eV for the cell shown: -112.878
E above lowest polymorph in eV per atom: 0.236
Magnetization in μB per cell: 0.00
Mass density in g cm⁻³: 7.249

a b c (Å): 6.753 12.053 9.791
angles (deg): 90.00 90.00 90.00
Space group Cmcm (No. 63)
Symmetry-distinct sites (fractional):
Tb 0.000 0.155 0.070
Tb 0.239 0.104 0.750
Pm 0.000 0.323 0.750
Y 0.000 0.500 0.000

No. 2
# Tb3Pm2Y4

A relaxed Tb3Pm2Y4 crystal (GGA-PBE, Alexandria).

Calculated values
V in Å³ per atom: 33.088
Uncorrected energy in eV for the cell shown: -97.033
E above lowest polymorph in eV per atom: 0.000
Magnetization in μB per cell: 0.00
Mass density in g cm⁻³: 6.259

a b c (Å): 17.941 3.538 9.684
angles (deg): 90.00 104.34 90.00
Space group C2/m (No. 12)
Symmetry-distinct sites (fractional):
Tb 0.000 0.000 0.000
Tb 0.170 0.000 0.900
Pm 0.160 0.500 0.210
Y 0.013 0.500 0.679
Y 0.154 0.000 0.528

No. 3
# Tb5Pm2Y12

A relaxed Tb5Pm2Y12 crystal (GGA-PBE, Alexandria).

Calculated values
V in Å³ per atom: 33.205
Uncorrected energy in eV for the cell shown: -215.602
E above lowest polymorph in eV per atom: 0.045
Magnetization in μB per cell: 0.00
Mass density in g cm⁻³: 5.663

a b c (Å): 15.604 9.363 8.641
angles (deg): 90.00 91.87 90.00
Space group C2/m (No. 12)
Symmetry-distinct sites (fractional):
Tb 0.000 0.000 0.000
Tb 0.203 0.500 0.518
Tb 0.230 0.000 0.073
Pm 0.000 0.325 0.500
Y 0.058 0.500 0.832
Y 0.080 0.000 0.374
Y 0.129 0.309 0.161
Y 0.151 0.179 0.739

No. 4
# Tb3Pm5Y

A relaxed Tb3Pm5Y crystal (GGA-PBE, Alexandria).

Calculated values
V in Å³ per atom: 33.915
Uncorrected energy in eV for the cell shown: -167.400
E above lowest polymorph in eV per atom: 0.000
Magnetization in μB per cell: 0.00
Mass density in g cm⁻³: 7.022

a b c (Å): 12.780 8.699 10.982
angles (deg): 90.00 90.00 90.00
Space group Cmcm (No. 63)
Symmetry-distinct sites (fractional):
Tb 0.000 0.000 0.000
Tb 0.207 0.006 0.250
Pm 0.000 0.240 0.250
Pm 0.142 0.327 0.030
Y 0.000 0.338 0.750